Compound: OsRh2Se
Source: Alexandria via LeMat-Bulk
Functional: SCAN
Structure: PBEsol geometry

Cell: 2.7896 3.7516 5.4895 Å, 90.00 90.00 90.00°
With the nearest neighbours (Å) after each atom.
Fractional coordinates of all 4 atoms:
Se 0.5000 0.5000 0.0000  2 Os 2.74, 8 Rh 2.75, 2 Se 2.79
Rh 0.0000 0.0000 0.7369  4 Rh 2.60-2.89, 4 Os 2.67, 4 Se 2.75
Rh 0.0000 0.0000 0.2631  4 Rh 2.60-2.89, 4 Os 2.67, 4 Se 2.75
Os 0.5000 0.5000 0.5000  8 Rh 2.67, 2 Se 2.74, 2 Os 2.79

Output
formation energy without anion corrections	0.322	eV per atom
SG	Pmmm, No. 47
calculated density	13.73	g/cm3
total moment	0.000	Bohr magnetons per cell


Compound: OsRh3Se
Source: Alexandria via LeMat-Bulk
Functional: SCAN
Structure: PBEsol geometry

Cell: 4.4266 4.4266 4.4266 Å, 90.00 90.00 90.00°
With the nearest neighbours (Å) after each atom.
Fractional coordinates of all 5 atoms:
Os 0.5000 0.5000 0.5000  12 Rh 3.13
Rh 0.0000 0.0000 0.5000  2 Se 2.21
Rh 0.5000 0.0000 0.0000  2 Se 2.21
Rh 0.0000 0.5000 0.0000  2 Se 2.21
Se 0.0000 0.0000 0.0000  6 Rh 2.21

Output
formation energy without anion corrections	1.298	eV per atom
SG	Pm-3m, No. 221
calculated density	11.06	g/cm3
total moment	2.836	Bohr magnetons per cell


Compound: OsRhSe2
Source: Alexandria via LeMat-Bulk
Functional: SCAN
Structure: PBEsol geometry

Cell: 3.0194 3.0194 7.9373 Å, 79.04 79.04 60.00°
With the nearest neighbours (Å) after each atom.
Fractional coordinates of all 4 atoms:
Se 0.7507 0.7507 0.7479  3 Os 2.59, 3 Rh 2.62
Se 0.2493 0.2493 0.2521  3 Os 2.59, 3 Rh 2.62
Os 0.5000 0.5000 0.5000  6 Se 2.59
Rh 0.0000 0.0000 0.0000  6 Se 2.62

Output
relative energy among the computed polymorphs	0.000	eV per formula unit
formation energy without anion corrections	0.390	eV per atom
SG	R-3m, No. 166
calculated density	12.25	g/cm3
total moment	0.000	Bohr magnetons per cell


Compound: Tl2OsRhSe
Source: Alexandria via LeMat-Bulk
Functional: SCAN
Structure: PBEsol geometry

Cell: 4.5163 5.2439 5.2439 Å, 90.00 90.00 90.00°
With the nearest neighbours (Å) after each atom.
Fractional coordinates of all 5 atoms:
Rh 0.5000 0.5000 0.5000  8 Tl 3.46, 4 Se 3.71
Os 0.0000 0.0000 0.0000  2 Se 2.26
Tl 0.0000 0.5000 0.0000  2 Os 2.62
Tl 0.0000 0.0000 0.5000  2 Os 2.62
Se 0.5000 0.0000 0.0000  2 Os 2.26

Output
formation energy without anion corrections	0.995	eV per atom
SG	P4/mmm, No. 123
calculated density	10.44	g/cm3
total moment	1.864	Bohr magnetons per cell


Compound: SiOsRh2
Source: Alexandria via LeMat-Bulk
Functional: SCAN
Structure: PBEsol geometry

Cell: 2.7069 2.7069 7.1471 Å, 90.00 90.00 90.00°
With the nearest neighbours (Å) after each atom.
Fractional coordinates of all 4 atoms:
Si 0.5000 0.5000 0.0000  8 Rh 2.52, 4 Si 2.71
Rh 0.0000 0.0000 0.2284  4 Si 2.52, 4 Rh 2.71, 4 Os 2.73
Rh 0.0000 0.0000 0.7716  4 Si 2.52, 4 Rh 2.71, 4 Os 2.73
Os 0.5000 0.5000 0.5000  4 Os 2.71, 8 Rh 2.73

Output
formation energy without anion corrections	-0.267	eV per atom
SG	P4/mmm, No. 123
calculated density	13.45	g/cm3
total moment	0.000	Bohr magnetons per cell


Compound: Si2OsRh
Source: Alexandria via LeMat-Bulk
Functional: SCAN
Structure: PBEsol geometry

Cell: 2.8972 4.2148 4.5874 Å, 103.60 108.41 90.00°
With the nearest neighbours (Å) after each atom.
Fractional coordinates of all 4 atoms:
Rh 0.2592 0.8247 0.5185  7 Si 2.42-2.59
Si 0.0010 0.9401 0.0020  3 Rh 2.42-2.50, 4 Os 2.53-2.59
Si 0.7516 0.3114 0.5032  3 Os 2.45-2.47, 4 Rh 2.53-2.59
Os 0.4882 0.4237 0.9763  7 Si 2.45-2.59

Output
formation energy without anion corrections	-0.602	eV per atom
SG	Cm, No. 8
calculated density	11.26	g/cm3
total moment	0.000	Bohr magnetons per cell


Compound: SiOs2Rh
Source: Alexandria via LeMat-Bulk
Functional: SCAN
Structure: PBEsol geometry

Cell: 2.7295 4.4777 4.4883 Å, 90.00 90.00 90.00°
With the nearest neighbours (Å) after each atom.
Fractional coordinates of all 4 atoms:
Os 0.0000 0.0000 0.0000  6 Os 2.62-2.73, 4 Rh 2.63
Os 0.5000 0.5000 0.0000  6 Os 2.62-2.73, 4 Si 2.63
Si 0.0000 0.5000 0.5000  4 Rh 2.62, 4 Os 2.63, 2 Si 2.73
Rh 0.5000 0.0000 0.5000  4 Si 2.62, 4 Os 2.63, 2 Rh 2.73

Output
formation energy without anion corrections	0.198	eV per atom
SG	Pmmm, No. 47
calculated density	15.48	g/cm3
total moment	0.001	Bohr magnetons per cell


Compound: Si2OsRh
Source: Alexandria via LeMat-Bulk
Functional: SCAN
Structure: PBEsol geometry

Cell: 3.5103 3.5103 4.8984 Å, 111.00 111.00 90.00°
With the nearest neighbours (Å) after each atom.
Fractional coordinates of all 4 atoms:
Rh 0.2500 0.7500 0.5000  8 Si 2.48-2.75, 4 Os 2.75
Si 0.7500 0.2500 0.5000  4 Rh 2.48, 4 Os 2.75, 4 Si 2.75
Si 0.0000 0.0000 0.0000  4 Os 2.48, 4 Rh 2.75, 4 Si 2.75
Os 0.5000 0.5000 0.0000  8 Si 2.48-2.75, 4 Rh 2.75

Output
formation energy without anion corrections	-0.214	eV per atom
SG	I-4m2, No. 119
calculated density	11.15	g/cm3
total moment	0.000	Bohr magnetons per cell


Compound: SiOsRh2
Source: Alexandria via LeMat-Bulk
Functional: SCAN
Structure: PBEsol geometry

Cell: 2.7193 2.7193 8.4162 Å, 90.00 90.00 118.62°
With the nearest neighbours (Å) after each atom.
Fractional coordinates of all 4 atoms:
Rh 0.5000 0.5000 0.7239  2 Si 2.32
Rh 0.0000 0.0000 0.0021  2 Os 2.66, 8 Rh 2.72-2.78
Si 0.0000 0.0000 0.5028  2 Rh 2.32, 2 Os 2.39
Os 0.5000 0.5000 0.2712  2 Si 2.39, 2 Rh 2.66

Output
formation energy without anion corrections	0.073	eV per atom
SG	Cmm2, No. 35
calculated density	12.89	g/cm3
total moment	0.000	Bohr magnetons per cell


Compound: Sr2OsRh
Source: Alexandria via LeMat-Bulk
Functional: SCAN
Structure: PBEsol geometry

Cell: 4.9949 4.9949 4.9949 Å, 60.00 60.00 60.00°
With the nearest neighbours (Å) after each atom.
Fractional coordinates of all 4 atoms:
Sr 0.2500 0.2500 0.2500  4 Os 3.06, 4 Rh 3.06
Sr 0.7500 0.7500 0.7500  4 Os 3.06, 4 Rh 3.06
Os 0.0000 0.0000 0.0000  8 Sr 3.06
Rh 0.5000 0.5000 0.5000  8 Sr 3.06

Output
relative energy among the computed polymorphs	0.324	eV per formula unit
SG	Fm-3m, No. 225
calculated density	8.83	g/cm3
formation energy	2.86	eV per formula unit
total moment	0.000	Bohr magnetons per cell


Compound: Sr2OsRh
Source: Alexandria via LeMat-Bulk
Functional: SCAN
Structure: PBEsol geometry

Cell: 3.0061 4.9151 6.0764 Å, 96.15 90.00 107.81°
With the nearest neighbours (Å) after each atom.
Fractional coordinates of all 4 atoms:
Sr 0.7492 0.4984 0.7464  3 Rh 2.92-3.03, 3 Os 2.94-3.05, 2 Sr 3.01
Sr 0.2508 0.5016 0.2536  3 Rh 2.92-3.03, 3 Os 2.94-3.05, 2 Sr 3.01
Os 0.5000 0.0000 0.0000  6 Sr 2.94-3.05, 2 Os 3.01
Rh 0.0000 0.0000 0.5000  6 Sr 2.92-3.03, 2 Rh 3.01

Output
relative energy among the computed polymorphs	0.802	eV per formula unit
SG	C2/m, No. 12
calculated density	9.16	g/cm3
formation energy	3.34	eV per formula unit
total moment	0.000	Bohr magnetons per cell


Compound: SrOsRh2
Source: Alexandria via LeMat-Bulk
Functional: SCAN
Structure: PBEsol geometry

Cell: 4.5573 4.5573 4.5573 Å, 60.00 60.00 60.00°
With the nearest neighbours (Å) after each atom.
Fractional coordinates of all 4 atoms:
Os 0.5000 0.5000 0.5000  4 Sr 2.79, 4 Rh 2.79
Sr 0.2500 0.2500 0.2500  4 Os 2.79, 4 Rh 2.79
Rh 0.0000 0.0000 0.0000  4 Rh 2.79, 4 Sr 2.79
Rh 0.7500 0.7500 0.7500  4 Rh 2.79, 4 Os 2.79

Output
SG	F-43m, No. 216
calculated density	12.00	g/cm3
formation energy	3.43	eV per formula unit
total moment	0.535	Bohr magnetons per cell